Computed, not measured: a PBEsol-optimized structure of TcAs2F at the SCAN level of DFT.

a = 5.467 Å, b = 5.467 Å, c = 10.789 Å
α = 90.00°, β = 90.00°, γ = 90.00°
Space group I-42d (No. 122)
Symmetry-distinct sites (fractional):
Tc 0.000 0.000 0.000 x4
As 0.237 0.250 0.125 x8
F 0.000 0.000 0.500 x4

The calculation puts the uncorrected formation energy at -133 meV per atom. The value obtained for the density of states at the Fermi level is 1.35 states/eV/f.u. The offset from the most stable computed form comes out at 0.112 eV per atom.